No. 1
A plane-wave DFT calculation with GGA-PBE was carried out for Tl8P after structural relaxation.

Computed properties:
* electronic total energy: -23.4 eV per formula unit
* ΔH_f (0 K): 108 meV per atom
* SG: I4/mmm, No. 139
* magnetic moment: 0.000 μB/atom

POSCAR file:
```
Tl8P
1.0
-5.056 5.056 2.595
5.056 -5.056 2.595
5.056 5.056 -2.595
Tl P
8 1
Cartesian
1.606 -1.606 2.595 Tl
-1.606 1.606 2.595 Tl
3.158 0.000 0.000 Tl
1.606 1.606 2.595 Tl
0.000 3.158 0.000 Tl
3.450 3.450 0.000 Tl
6.955 0.000 0.000 Tl
0.000 6.955 0.000 Tl
0.000 0.000 0.000 P
```


No. 2
A plane-wave DFT calculation with GGA-PBE was carried out for Tl4P after structural relaxation.

Computed properties:
* electronic total energy: -13.1 eV per formula unit
* ΔH_f (0 K): 356 meV per atom
* SG: Pm-3m, No. 221
* magnetic moment: 0.000 μB/atom

POSCAR file:
```
Tl4P
1.0
-4.756 -0.330 2.854
-1.963 -3.658 -3.694
2.099 -4.170 3.014
P Tl
1 4
Cartesian
-2.310 -4.079 1.087 P
0.000 0.000 0.000 Tl
-1.329 -2.250 2.934 Tl
0.068 -3.914 -0.340 Tl
-3.360 -1.994 -0.420 Tl
```


No. 3
A plane-wave DFT calculation with GGA-PBE was carried out for Tl3P5 after structural relaxation.

Computed properties:
* electronic total energy: -29.7 eV per formula unit
* ΔH_f (0 K): 554 meV per atom
* SG: Cmmm, No. 65
* magnetic moment: 0.000 μB/atom

POSCAR file:
```
Tl3P5
1.0
-5.874 -2.565 -2.030
5.192 -3.770 -2.010
-0.258 -2.312 3.669
Tl P
3 5
Cartesian
-0.341 -3.167 -2.020 Tl
-3.163 -4.030 -0.191 Tl
2.222 -4.617 -0.181 Tl
0.000 0.000 0.000 P
2.596 -1.885 -1.005 P
-2.937 -1.282 -1.015 P
-0.227 -2.064 1.255 P
-0.714 -6.583 -1.627 P
```


No. 4
A plane-wave DFT calculation with GGA-PBE was carried out for Tl6P7 after structural relaxation.

Computed properties:
* electronic total energy: -49.5 eV per formula unit
* ΔH_f (0 K): 198 meV per atom
* SG: R-3m, No. 166
* magnetic moment: 0.000 μB/atom

POSCAR file:
```
Tl6P7
1.0
11.166 -0.008 -0.005
9.537 5.807 -0.005
9.537 2.672 5.156
P Tl
7 6
Cartesian
12.589 4.680 2.843 P
13.188 2.541 2.843 P
13.188 3.694 0.945 P
17.650 3.791 2.303 P
17.051 4.777 4.202 P
17.051 5.930 2.303 P
15.120 4.235 2.573 P
1.578 0.442 0.269 Tl
28.661 8.029 4.878 Tl
4.873 1.365 0.829 Tl
25.366 7.106 4.317 Tl
9.685 2.713 1.648 Tl
20.554 5.758 3.498 Tl
```


No. 5
A plane-wave DFT calculation with GGA-PBE was carried out for TlV3P after structural relaxation.

Computed properties:
* electronic total energy: -34.1 eV per formula unit
* ΔH_f (0 K): 199 meV per atom
* distance to the lowest polymorph of the same formula: 0 meV per atom
* SG: Pm-3m, No. 221
* magnetic moment: 0.737 μB/atom

POSCAR file:
```
TlV3P
1.0
-1.338 -3.937 -1.514
3.278 -1.970 2.226
-2.654 -0.449 3.512
P Tl V
1 1 3
Cartesian
0.000 0.000 0.000 P
-0.357 -3.178 2.112 Tl
1.639 -0.985 1.113 V
-1.327 -0.224 1.756 V
-0.669 -1.969 -0.757 V
```


No. 6
A plane-wave DFT calculation with GGA-PBE was carried out for TlVP2 after structural relaxation.

Computed properties:
* electronic total energy: -20.2 eV per formula unit
* ΔH_f (0 K): 537 meV per atom
* distance to the lowest polymorph of the same formula: 461 meV per atom
* SG: Fm-3m, No. 225
* magnetic moment: 0.509 μB/atom

POSCAR file:
```
TlVP2
1.0
0.000 3.290 3.290
3.290 0.000 3.290
3.290 3.290 0.000
P Tl V
2 1 1
Cartesian
1.645 1.645 1.645 P
4.935 4.935 4.935 P
3.290 3.290 3.290 Tl
0.000 0.000 0.000 V
```


No. 7
A plane-wave DFT calculation with GGA-PBE was carried out for TlV3P after structural relaxation.

Computed properties:
* electronic total energy: -25.8 eV per formula unit
* ΔH_f (0 K): 1870 meV per atom
* distance to the lowest polymorph of the same formula: 1671 meV per atom
* SG: Pm-3m, No. 221
* magnetic moment: 1.484 μB/atom

POSCAR file:
```
TlV3P
1.0
5.010 0.000 0.000
0.000 5.010 0.000
0.000 0.000 5.010
P Tl V
1 1 3
Cartesian
2.505 2.505 2.505 P
0.000 0.000 0.000 Tl
0.000 2.505 0.000 V
0.000 0.000 2.505 V
2.505 0.000 0.000 V
```


No. 8
A plane-wave DFT calculation with GGA-PBE was carried out for TlVP2 after structural relaxation.

Computed properties:
* electronic total energy: -22.0 eV per formula unit
* ΔH_f (0 K): 76 meV per atom
* distance to the lowest polymorph of the same formula: 0 meV per atom
* SG: I-42d, No. 122
* magnetic moment: 0.044 μB/atom

POSCAR file:
```
TlVP2
1.0
6.042 0.000 0.000
0.000 6.042 0.000
3.021 3.021 5.532
P Tl V
4 2 2
Cartesian
3.988 1.511 1.383 P
2.054 4.532 1.383 P
4.532 5.075 4.149 P
7.553 7.010 4.149 P
0.000 0.000 0.000 Tl
6.042 3.021 2.766 Tl
3.021 3.021 0.000 V
3.021 6.042 2.766 V
```


No. 9
A plane-wave DFT calculation with GGA-PBE was carried out for TlPW after structural relaxation.

Computed properties:
* electronic total energy: -17.7 eV per formula unit
* ΔH_f (0 K): 1023 meV per atom
* distance to the lowest polymorph of the same formula: 756 meV per atom
* SG: F-43m, No. 216
* magnetic moment: 0.000 μB/atom

POSCAR file:
```
TlPW
1.0
0.000 3.075 3.075
3.075 0.000 3.075
3.075 3.075 0.000
Tl P W
1 1 1
Cartesian
0.000 0.000 0.000 Tl
1.537 1.537 1.537 P
3.075 3.075 3.075 W
```


No. 10
A plane-wave DFT calculation with GGA-PBE was carried out for TlP2W after structural relaxation.

Computed properties:
* electronic total energy: -23.0 eV per formula unit
* ΔH_f (0 K): 774 meV per atom
* distance to the lowest polymorph of the same formula: 777 meV per atom
* SG: I4/mmm, No. 139
* magnetic moment: 0.212 μB/atom

POSCAR file:
```
TlP2W
1.0
-1.945 2.533 -3.169
-3.190 -3.098 0.682
1.156 2.277 3.704
P Tl W
2 1 1
Cartesian
0.000 0.000 0.000 P
-2.567 -0.283 -1.243 P
-2.300 -0.552 1.571 Tl
-1.678 2.264 -0.354 W
```


No. 11
A plane-wave DFT calculation with GGA-PBE was carried out for TlP2W2 after structural relaxation.

Computed properties:
* electronic total energy: -38.4 eV per formula unit
* ΔH_f (0 K): 137 meV per atom
* SG: I4/mmm, No. 139
* magnetic moment: 0.000 μB/atom

POSCAR file:
```
TlP2W2
1.0
-2.182 2.182 4.498
2.182 -2.182 4.498
2.182 2.182 -4.498
Tl P W
1 2 2
Cartesian
0.000 0.000 0.000 Tl
0.000 0.000 5.651 P
0.000 0.000 3.344 P
2.182 0.000 2.249 W
0.000 2.182 2.249 W
```


No. 12
A plane-wave DFT calculation with GGA-PBE was carried out for TlP2W after structural relaxation.

Computed properties:
* electronic total energy: -25.3 eV per formula unit
* ΔH_f (0 K): 207 meV per atom
* distance to the lowest polymorph of the same formula: 210 meV per atom
* SG: C2/m, No. 12
* magnetic moment: 0.000 μB/atom

POSCAR file:
```
TlP2W
1.0
4.232 0.007 -0.007
3.023 2.962 -0.007
1.033 0.423 6.820
P Tl W
2 1 1
Cartesian
7.194 2.944 0.768 P
4.205 1.721 2.621 P
6.216 2.544 5.104 Tl
2.072 0.848 1.701 W
```


No. 13
A plane-wave DFT calculation with GGA-PBE was carried out for TlP2W after structural relaxation.

Computed properties:
* electronic total energy: -26.0 eV per formula unit
* ΔH_f (0 K): 24 meV per atom
* distance to the lowest polymorph of the same formula: 28 meV per atom
* SG: P4/mmm, No. 123
* magnetic moment: 0.000 μB/atom

POSCAR file:
```
TlP2W
1.0
-1.235 2.539 -1.332
-1.791 -1.815 -1.801
-5.468 0.127 5.310
P Tl W
2 1 1
Cartesian
-5.063 0.118 4.917 P
-3.139 0.073 3.048 P
-2.880 0.394 -0.239 Tl
-5.614 0.457 2.416 W
```


No. 14
A plane-wave DFT calculation with GGA-PBE was carried out for TlPW after structural relaxation.

Computed properties:
* electronic total energy: -19.3 eV per formula unit
* ΔH_f (0 K): 467 meV per atom
* distance to the lowest polymorph of the same formula: 200 meV per atom
* SG: P-6m2, No. 187
* magnetic moment: 0.000 μB/atom

POSCAR file:
```
TlPW
1.0
-2.358 -2.171 -2.596
1.203 -1.665 3.577
-3.233 1.420 1.749
Tl P W
1 1 1
Cartesian
0.016 -1.834 1.519 Tl
-1.617 0.710 0.875 P
-2.788 -1.292 0.336 W
```


No. 15
A plane-wave DFT calculation with GGA-PBE was carried out for TlPW after structural relaxation.

Computed properties:
* electronic total energy: -19.9 eV per formula unit
* ΔH_f (0 K): 267 meV per atom
* distance to the lowest polymorph of the same formula: 0 meV per atom
* SG: P3m1, No. 156
* magnetic moment: 0.000 μB/atom

POSCAR file:
```
TlPW
1.0
-1.757 0.836 2.505
-0.518 -2.775 -1.445
4.330 -2.892 4.002
Tl P W
1 1 1
Cartesian
0.119 -1.345 2.540 Tl
4.111 -2.746 3.799 P
2.156 -3.633 2.725 W
```


No. 16
A plane-wave DFT calculation with GGA-PBE was carried out for TlP2W after structural relaxation.

Computed properties:
* electronic total energy: -25.6 eV per formula unit
* ΔH_f (0 K): 143 meV per atom
* distance to the lowest polymorph of the same formula: 146 meV per atom
* SG: Cm, No. 8
* magnetic moment: 0.000 μB/atom

POSCAR file:
```
TlP2W
1.0
4.466 -0.002 0.006
3.251 3.063 0.006
1.541 0.611 6.302
P Tl W
2 1 1
Cartesian
7.269 2.883 0.709 P
7.209 2.859 5.105 P
5.331 2.115 3.145 Tl
1.794 0.712 0.523 W
```


No. 17
A plane-wave DFT calculation with GGA-PBE was carried out for TlP2W after structural relaxation.

Computed properties:
* electronic total energy: -24.2 eV per formula unit
* ΔH_f (0 K): 478 meV per atom
* distance to the lowest polymorph of the same formula: 481 meV per atom
* SG: R3m, No. 160
* magnetic moment: 0.000 μB/atom

POSCAR file:
```
TlP2W
1.0
-0.850 -0.838 -9.443
0.980 -3.206 -8.908
-2.030 -3.513 -8.610
P Tl W
2 1 1
Cartesian
-0.002 -0.009 -0.033 P
-0.527 -2.096 -7.476 P
-0.932 -3.709 -13.232 Tl
-1.388 -5.522 -19.699 W
```


No. 18
A plane-wave DFT calculation with GGA-PBE was carried out for TlP2W after structural relaxation.

Computed properties:
* electronic total energy: -23.2 eV per formula unit
* ΔH_f (0 K): 734 meV per atom
* distance to the lowest polymorph of the same formula: 737 meV per atom
* SG: Cmm2, No. 35
* magnetic moment: 0.000 μB/atom

POSCAR file:
```
TlP2W
1.0
2.981 0.017 0.000
-1.326 2.670 0.000
0.000 0.000 9.250
P Tl W
2 1 1
Cartesian
0.000 0.000 9.237 P
0.828 1.343 1.753 P
0.000 0.000 4.729 Tl
0.828 1.343 7.407 W
```


No. 19
A plane-wave DFT calculation with GGA-PBE was carried out for TlP2W after structural relaxation.

Computed properties:
* electronic total energy: -24.1 eV per formula unit
* ΔH_f (0 K): 508 meV per atom
* distance to the lowest polymorph of the same formula: 511 meV per atom
* SG: P2/m, No. 10
* magnetic moment: 0.000 μB/atom

POSCAR file:
```
TlP2W
1.0
4.492 0.000 0.000
0.000 3.397 0.013
0.000 1.114 5.281
P Tl W
2 1 1
Cartesian
0.000 4.227 4.701 P
0.000 2.539 3.240 P
2.246 1.128 1.323 Tl
2.246 3.383 3.970 W
```


No. 20
A plane-wave DFT calculation with GGA-PBE was carried out for TlP2W after structural relaxation.

Computed properties:
* electronic total energy: -22.1 eV per formula unit
* ΔH_f (0 K): 1007 meV per atom
* distance to the lowest polymorph of the same formula: 1010 meV per atom
* SG: I-4m2, No. 119
* magnetic moment: 0.000 μB/atom

POSCAR file:
```
TlP2W
1.0
-4.465 3.199 0.765
-4.966 -1.352 -2.065
4.141 -2.266 2.911
P Tl W
2 1 1
Cartesian
0.000 0.000 0.000 P
-2.770 -1.347 0.098 P
-4.715 0.924 -0.650 Tl
-2.520 0.928 1.513 W
```